TcRu2Se, optimized geometry, DFT GGA-PBE; symmetry = Cmmm, No. 65; raw formation energy = 1.6 eV/f.u.
1.0
2.900 -3.525 0.000
2.900 3.525 0.000
0.000 0.000 2.892
Tc Ru Se
1 2 1
Direct
0.000 0.000 0.000
0.000 0.500 0.500
0.500 0.000 0.500
0.500 0.500 0.000